## CsTe3O (PBE)

Data for a relaxed CsTe3O crystal.

```
5
Lattice="5.146 0.000 0.000 0.000 5.146 0.000 0.000 0.000 5.146" Properties=species:S:1:pos:R:3 pbc="T T T"
Cs 0.000 0.000 0.000
Te 0.000 2.573 2.573
Te 2.573 0.000 2.573
Te 2.573 2.573 0.000
O 2.573 2.573 2.573
```

The crystal system is cubic. The raw formation energy is -113 meV per atom. The raw total energy comes out at -15.80 eV/cell. The value obtained for the excess energy over the best structure of this formula in the dataset is 0.398 eV/atom.